DFT (GGA-PBE) results for a geometry-optimized MnICl2 structure.

Cell: 4.5528 4.5528 13.7467 Å, 90.00 90.00 90.00°
Space group I4mm (No. 107)
Unique sites:
Mn 0.0000 0.0000 0.0000 x2
I 0.0000 0.0000 0.1862 x2
Cl 0.0000 0.5000 0.4507 x4

Values from the calculation:
offset from the most stable computed form	0.0	meV per atom
raw formation energy	-230	kJ/mol of formula units

DFT (GGA-PBE) results for a geometry-optimized PmEu2H structure.

Cell: 3.7246 3.7246 27.8483 Å, 90.00 90.00 120.00°
Space group R-3m (No. 166, hexagonal axes)
Unique sites:
Pm 0.0000 0.0000 0.0000 x3
Eu 0.0000 0.0000 0.2204 x6
H 0.0000 0.0000 0.5000 x3

Values from the calculation:
offset from the most stable computed form	0.0	meV per atom

DFT (GGA-PBE) results for a geometry-optimized Ta3BiSe structure.

Cell: 5.1727 5.1727 5.1727 Å, 90.00 90.00 90.00°
Space group Pm-3m (No. 221)
Unique sites:
Ta 0.0000 0.0000 0.5000 x3
Bi 0.0000 0.0000 0.0000 x1
Se 0.5000 0.5000 0.5000 x1

Values from the calculation:
offset from the most stable computed form	1499.9	meV per atom
raw formation energy	1169	kJ/mol of formula units

DFT (GGA-PBE) results for a geometry-optimized LiZrRe2Ge structure.

Cell: 4.6663 4.6663 4.0735 Å, 90.00 90.00 90.00°
Space group P4/mmm (No. 123)
Unique sites:
Li 0.0000 0.0000 0.0000 x1
Zr 0.5000 0.5000 0.0000 x1
Re 0.0000 0.5000 0.5000 x2
Ge 0.0000 0.0000 0.5000 x1

Values from the calculation:
E	-36.592	eV/cell

DFT (GGA-PBE) results for a geometry-optimized LaCdIn structure.

Cell: 4.7534 4.7534 7.7984 Å, 90.00 90.00 90.00°
Space group P4/nmm (No. 129, origin choice 2)
Unique sites:
La 0.2500 0.2500 0.1813 x2
Cd 0.2500 0.2500 0.7502 x2
In 0.2500 0.7500 0.5000 x2

Values from the calculation:
E	-19.270	eV/cell

DFT (GGA-PBE) results for a geometry-optimized LaTm4Sc structure.

Cell: 3.4060 5.5644 9.5505 Å, 90.00 90.00 90.00°
Space group Pmmm (No. 47)
Unique sites:
La 0.0000 0.0000 0.0000 x1
Tm 0.5000 0.0000 0.3404 x2
Tm 0.5000 0.5000 0.1769 x2
Sc 0.0000 0.5000 0.5000 x1

Values from the calculation:
offset from the most stable computed form	0.0	meV per atom

no.,calculated density (kg/m³)
1,2946
2,6699
3,9967
4,10170
5,6901
6,7886